The following is a DFT calculation (PBE) of an optimized crystal structure of CaBAs2Br.

Lattice parameters (Å, degrees): 5.592 5.592 5.490 90.00 90.00 90.00
Space group P4/mmm (No. 123)
Inequivalent atoms, fractional coordinates:
Ca 0.000 0.000 0.000 (multiplicity 1)
B 0.500 0.500 0.500 (multiplicity 1)
As 0.000 0.500 0.000 (multiplicity 2)
Br 0.000 0.000 0.500 (multiplicity 1)

Summary:
energy: -2.71 eV/atom
energy relative to the elements, uncorrected: 1.222 eV per atom
N(E_F): 5.45 states/eV/cell
distance to the lowest polymorph of the same formula: 1243 meV per atom